i | This record from Alexandria describes a geometry-optimized Ni3GeH structure. The functional is PBE.

a b c (Å): 5.173 3.907 5.223
angles (deg): 90.00 110.12 90.00
Space group P2_1 (No. 4)
Asymmetric unit:
Ni 0.131 0.000 0.256
Ni 0.308 0.500 0.592
Ni 0.369 0.501 0.100
Ge 0.149 0.999 0.793
H 0.415 0.749 0.379

---

ii | This record from Alexandria describes a geometry-optimized Ni3GeH structure. The functional is PBE.

a b c (Å): 4.725 4.725 9.451
angles (deg): 90.00 90.00 90.00
Space group I-4m2 (No. 119)
Asymmetric unit:
Ni 0.000 0.000 0.133
Ni 0.000 0.249 0.627
Ge 0.000 0.500 0.099
H 0.000 0.000 0.500
H 0.000 0.500 0.750

---

iii | This record from Alexandria describes a geometry-optimized Ni3GeH structure. The functional is PBE.

a b c (Å): 4.619 6.769 6.762
angles (deg): 90.00 90.00 90.00
Space group Pnma (No. 62)
Asymmetric unit:
Ni 0.053 0.070 0.164
Ni 0.226 0.250 0.827
Ge 0.000 0.000 0.500
H 0.029 0.750 0.002

---

Most stable one: i, least stable one: ii.

---

i | This record from Alexandria describes a geometry-optimized Ni3GeH structure. The functional is PBE.

a b c (Å): 6.5647 6.5647 4.4864
angles (deg): 90.00 90.00 120.00
Space group R3m (No. 160, hexagonal axes)
Asymmetric unit:
Ni 0.1990 0.3980 0.0000
Ge 0.0000 0.0000 0.8819
H 0.0000 0.0000 0.4706

---

ii | This record from Alexandria describes a geometry-optimized Ni3GeH structure. The functional is PBE.

a b c (Å): 3.636 3.636 3.636
angles (deg): 90.00 90.00 90.00
Space group Pm-3m (No. 221)
Asymmetric unit:
Ni 0.000 0.000 0.500
Ge 0.500 0.500 0.500
H 0.000 0.000 0.000

---

iii | This record from Alexandria describes a geometry-optimized Ni3GeH structure. The functional is PBE.

a b c (Å): 4.932 11.896 4.427
angles (deg): 90.00 90.00 90.00
Space group Cmcm (No. 63)
Asymmetric unit:
Ni 0.000 0.000 0.000
Ni 0.241 0.162 0.250
Ge 0.000 0.174 0.750
H 0.000 0.419 0.750

---

Most stable one: ii, least stable one: i.